# TlCr2Pb, relaxed, DFT PBE
data_TlCr2Pb
_symmetry_space_group_name_H-M 'P 1 m 1'
_symmetry_Int_Tables_number 6
_symmetry_space_group_name_Hall 'P -2y'
_cell_length_a 4.6586
_cell_length_b 3.5419
_cell_length_c 5.7631
_cell_angle_alpha 90.00
_cell_angle_beta 113.61
_cell_angle_gamma 90.00
loop_
_atom_site_label
_atom_site_type_symbol
_atom_site_fract_x
_atom_site_fract_y
_atom_site_fract_z
Tl1 Tl 0.0000 0.0000 0.0000
Cr1 Cr 0.2887 0.0000 0.5719
Cr2 Cr 0.4380 0.5000 0.8761
Pb1 Pb 0.7306 0.5000 0.4550
# E   -23.031 eV for the cell shown
# Formation enthalpy at 0 K   2.29 eV/f.u.
# Crystal system   monoclinic
# Relative energy among the computed polymorphs   155.8 meV per atom